No. 1
# BeFeF5

A geometry-optimized BeFeF5 structure (PBE+U, Alexandria via LeMat-Bulk).

abc: 11.3562 5.3624 6.7101
angles: 90.00 90.00 90.00
Space group Pnma (No. 62)
Asymmetric unit:
Be 0.1564 0.2500 0.0249 [4 per cell]
Fe 0.0649 0.7500 0.3206 [4 per cell]
F 0.0000 0.0000 0.5000 [4 per cell]
F 0.0826 0.2500 0.8289 [4 per cell]
F 0.1274 0.0099 0.1487 [8 per cell]
F 0.2098 0.7500 0.4755 [4 per cell]



No. 2
# BeFe2F6

A geometry-optimized BeFe2F6 structure (PBE+U, Alexandria via LeMat-Bulk).

abc: 11.2343 9.1869 7.8079
angles: 90.00 131.24 90.00
Space group C2/c (No. 15)
Asymmetric unit:
Be 0.0000 0.1365 0.2500 [4 per cell]
Fe 0.1546 0.4501 0.2689 [8 per cell]
F 0.0998 0.2350 0.2209 [8 per cell]
F 0.1018 0.4980 0.9730 [8 per cell]
F 0.1172 0.0383 0.4650 [8 per cell]



No. 3
# BeFe3F

A geometry-optimized BeFe3F structure (PBE+U, Alexandria via LeMat-Bulk).

Summary:
Energy relative to the lowest polymorph listed for this composition, kJ/mol of atoms: 0.0

abc: 4.1483 4.1483 4.1483
angles: 90.00 90.00 90.00
Space group Pm-3m (No. 221)
Asymmetric unit:
Be 0.0000 0.0000 0.0000 [1 per cell]
Fe 0.0000 0.5000 0.5000 [3 per cell]
F 0.5000 0.5000 0.5000 [1 per cell]



No. 4
# BeGa2FeF

A geometry-optimized BeGa2FeF structure (PBE+U, Alexandria via LeMat-Bulk).

abc: 4.5717 4.5717 4.0826
angles: 90.00 90.00 90.00
Space group P4/mmm (No. 123)
Asymmetric unit:
Be 0.0000 0.0000 0.0000 [1 per cell]
Ga 0.0000 0.5000 0.5000 [2 per cell]
Fe 0.5000 0.5000 0.0000 [1 per cell]
F 0.5000 0.5000 0.5000 [1 per cell]



No. 5
# LaBeFeF2

A geometry-optimized LaBeFeF2 structure (PBE+U, Alexandria via LeMat-Bulk).

abc: 4.4939 4.4939 6.3674
angles: 90.00 90.00 90.00
Space group P4/mmm (No. 123)
Asymmetric unit:
La 0.0000 0.0000 0.0000 [1 per cell]
Be 0.0000 0.0000 0.5000 [1 per cell]
Fe 0.5000 0.5000 0.5000 [1 per cell]
F 0.0000 0.5000 0.0000 [2 per cell]



No. 6
# BeFeNF2

A geometry-optimized BeFeNF2 structure (PBE+U, Alexandria via LeMat-Bulk).

Summary:
Energy relative to the lowest polymorph listed for this composition, kJ/mol of atoms: 80.7

abc: 3.8044 3.8044 4.1493
angles: 90.00 90.00 90.00
Space group P4/mmm (No. 123)
Asymmetric unit:
Be 0.0000 0.0000 0.0000 [1 per cell]
Fe 0.5000 0.5000 0.5000 [1 per cell]
N 0.5000 0.5000 0.0000 [1 per cell]
F 0.0000 0.5000 0.5000 [2 per cell]



No. 7
# BeFeNF2

A geometry-optimized BeFeNF2 structure (PBE+U, Alexandria via LeMat-Bulk).

Summary:
Energy relative to the lowest polymorph listed for this composition, kJ/mol of atoms: 0.0

abc: 3.1121 3.1121 5.3187
angles: 90.00 90.00 90.00
Space group P4/mmm (No. 123)
Asymmetric unit:
Be 0.0000 0.0000 0.0000 [1 per cell]
Fe 0.5000 0.5000 0.5000 [1 per cell]
N 0.0000 0.0000 0.5000 [1 per cell]
F 0.0000 0.5000 0.0000 [2 per cell]



No. 8
# Na2BeFeF6

A geometry-optimized Na2BeFeF6 structure (PBE+U, Alexandria via LeMat-Bulk).

abc: 9.1559 5.3763 5.3822
angles: 90.00 124.39 90.00
Space group C2/m (No. 12)
Asymmetric unit:
Na 0.2460 0.0000 0.2290 [4 per cell]
Be 0.0000 0.5000 0.0000 [2 per cell]
Fe 0.0000 0.0000 0.5000 [2 per cell]
F 0.0471 0.2699 0.8234 [8 per cell]
F 0.2374 0.5000 0.3271 [4 per cell]



no.,spin magnetization (μB per atom),E_tot (eV for the cell shown)
1,0.71,-153.43
2,0.89,-199.91
3,1.98,-19.08
4,0.71,-15.43
5,0.78,-23.95
6,0.99,-23.09
7,0.97,-27.27
8,0.40,-101.00